VASP calculation (SCAN) on ZrP2SF at its PBEsol-relaxed geometry.

Cell and atoms, written as POSCAR:
```
ZrP2SF
1.0
-4.123 1.086 2.177
1.364 -2.726 3.943
2.134 4.016 2.039
P S Zr F
2 1 1 1
direct
0.000 0.000 0.500
0.000 0.500 0.000
0.500 0.000 0.000
0.000 0.000 0.000
0.500 0.500 0.500
```

Output
**Uncorrected formation energy**: 0.076 eV/atom
**DFT total energy**: -64.3 eV per cell